--- w ---
Density functional theory data (GGA-PBE) for crystalline CeGeAu4 at its relaxed geometry.

Structure (POSCAR):
```
CeGeAu4
1.0
-0.272 -5.113 0.274
1.816 0.281 7.050
-6.662 3.011 1.596
Au Ge Ce
8 2 2
direct
0.213 0.437 0.426
0.405 0.250 0.809
0.787 0.563 0.574
0.213 0.063 0.426
0.595 0.750 0.191
0.000 0.000 0.000
0.000 0.500 0.000
0.787 0.937 0.574
0.867 0.250 0.735
0.133 0.750 0.265
0.382 0.750 0.764
0.618 0.250 0.236
```

---

--- x ---
Density functional theory data (GGA-PBE) for crystalline CeGeAu4 at its relaxed geometry.

Structure (POSCAR):
```
CeGeAu4
1.0
4.134 0.000 0.000
0.000 7.858 0.000
0.000 0.000 7.727
Au Ge Ce
8 2 2
direct
0.500 0.332 0.943
0.500 0.893 0.750
0.500 0.668 0.443
0.000 0.000 0.000
0.500 0.668 0.057
0.000 0.000 0.500
0.500 0.107 0.250
0.500 0.332 0.557
0.000 0.213 0.750
0.000 0.787 0.250
0.000 0.397 0.250
0.000 0.603 0.750
```

---

--- y ---
Density functional theory data (GGA-PBE) for crystalline CeGeAu4 at its relaxed geometry.

Structure (POSCAR):
```
CeGeAu4
1.0
-4.299 -0.077 3.640
-5.069 -1.807 -1.666
-2.001 -4.915 1.893
Au Ge Ce
4 1 1
direct
0.625 0.625 0.124
0.124 0.625 0.625
0.625 0.124 0.625
0.625 0.625 0.625
0.000 0.000 0.000
0.250 0.250 0.250
```

---

x ends up most stable, edging out the next structure by 71 meV/atom.

---

--- w ---
Density functional theory data (GGA-PBE) for crystalline CeGeAu3 at its relaxed geometry.

Structure (POSCAR):
```
CeGeAu3
1.0
-0.276 -4.508 2.006
7.597 -2.483 -4.532
5.137 2.828 7.062
Ge Au Ce
4 12 4
direct
0.250 0.111 0.662
0.250 0.611 0.838
0.750 0.389 0.162
0.750 0.889 0.338
0.750 0.100 0.162
0.750 0.600 0.338
0.250 0.400 0.662
0.750 0.915 0.622
0.250 0.900 0.838
0.750 0.105 0.852
0.750 0.605 0.648
0.750 0.415 0.878
0.250 0.395 0.352
0.250 0.585 0.122
0.250 0.085 0.378
0.250 0.895 0.148
0.250 0.241 0.004
0.750 0.259 0.504
0.750 0.759 0.996
0.250 0.741 0.496
```

---

--- x ---
Density functional theory data (GGA-PBE) for crystalline CeGeAu3 at its relaxed geometry.

Structure (POSCAR):
```
CeGeAu3
1.0
1.161 5.041 0.581
1.747 0.051 4.903
4.725 1.212 0.758
Ge Au Ce
1 3 1
direct
0.302 0.302 0.594
0.911 0.911 0.991
0.886 0.302 0.307
0.302 0.886 0.307
0.601 0.601 0.798
```

---

w ends up most stable, edging out the next structure by 7 meV/atom.

---

--- w ---
Density functional theory data (GGA-PBE) for crystalline Ce2Ge3Au2 at its relaxed geometry.

Structure (POSCAR):
```
Ce2Ge3Au2
1.0
-0.228 2.026 -3.891
-1.388 -5.524 -0.315
-5.730 3.167 1.985
Ce Au Ge
2 2 3
direct
0.134 0.267 0.783
0.866 0.733 0.217
0.169 0.338 0.260
0.831 0.662 0.740
0.500 0.000 0.000
0.600 0.199 0.437
0.400 0.801 0.563
```

---

--- x ---
Density functional theory data (GGA-PBE) for crystalline Ce2Ge3Au2 at its relaxed geometry.

Structure (POSCAR):
```
Ce2Ge3Au2
1.0
-1.593 1.703 -3.810
5.512 -2.792 -3.552
-4.212 -8.855 0.423
Au Ge Ce
4 6 4
direct
0.687 0.551 0.373
0.313 0.449 0.627
0.687 0.949 0.373
0.313 0.051 0.627
0.441 0.571 0.882
0.778 0.250 0.555
0.441 0.929 0.882
0.559 0.429 0.118
0.559 0.071 0.118
0.222 0.750 0.445
0.155 0.250 0.310
0.845 0.750 0.690
0.051 0.750 0.102
0.949 0.250 0.898
```

---

x ends up most stable, edging out the next structure by 29 meV/atom.

---

--- w ---
Density functional theory data (GGA-PBE) for crystalline CePuGeAu at its relaxed geometry.

Structure (POSCAR):
```
CePuGeAu
1.0
4.142 0.000 0.000
0.000 4.341 0.000
-2.071 0.000 5.581
Ge Ce Pu Au
1 1 1 1
direct
0.583 0.500 0.166
0.141 0.000 0.282
0.856 0.500 0.711
0.421 0.000 0.841
```

---

--- x ---
Density functional theory data (GGA-PBE) for crystalline CePuGeAu at its relaxed geometry.

Structure (POSCAR):
```
CePuGeAu
1.0
5.158 0.000 0.000
2.579 4.467 0.000
2.579 1.489 4.212
Ge Pu Ce Au
1 1 1 1
direct
0.000 0.000 0.000
0.250 0.250 0.250
0.750 0.750 0.750
0.500 0.500 0.500
```

---

w ends up most stable, edging out the next structure by 23 meV/atom.

---

--- w ---
Density functional theory data (GGA-PBE) for crystalline TbCeGeAu at its relaxed geometry.

Structure (POSCAR):
```
TbCeGeAu
1.0
-2.001 -3.258 1.576
3.717 -1.392 1.842
-0.161 4.541 3.755
Ce Au Tb Ge
1 1 1 1
direct
0.138 0.000 0.276
0.416 0.000 0.831
0.862 0.500 0.724
0.584 0.500 0.168
```

---

--- x ---
Density functional theory data (GGA-PBE) for crystalline TbCeGeAu at its relaxed geometry.

Structure (POSCAR):
```
TbCeGeAu
1.0
5.160 0.000 0.000
2.580 4.469 0.000
2.580 1.490 4.213
Au Ce Ge Tb
1 1 1 1
direct
0.750 0.750 0.750
0.000 0.000 0.000
0.250 0.250 0.250
0.500 0.500 0.500
```

---

w ends up most stable, edging out the next structure by 92 meV/atom.

---

--- w ---
Density functional theory data (GGA-PBE) for crystalline CeThGeAu at its relaxed geometry.

Structure (POSCAR):
```
CeThGeAu
1.0
-1.436 1.139 -3.812
3.053 -2.460 -1.886
-2.808 -4.959 1.923
Ce Ge Au Th
1 1 1 1
direct
0.858 0.500 0.715
0.584 0.500 0.167
0.419 0.000 0.839
0.139 0.000 0.278
```

---

--- x ---
Density functional theory data (GGA-PBE) for crystalline CeThGeAu at its relaxed geometry.

Structure (POSCAR):
```
CeThGeAu
1.0
-0.536 -3.718 -3.633
3.874 -3.403 -0.848
-0.549 -4.995 1.434
Th Ce Ge Au
1 1 1 1
direct
0.000 0.000 0.000
0.500 0.500 0.500
0.250 0.250 0.250
0.750 0.750 0.750
```

---

w ends up most stable, edging out the next structure by 115 meV/atom.

---

--- w ---
Density functional theory data (GGA-PBE) for crystalline Ce2HAu at its relaxed geometry.

Structure (POSCAR):
```
Ce2HAu
1.0
3.662 0.000 0.000
1.831 3.171 0.000
1.831 1.057 7.342
Au H Ce
1 1 2
direct
0.501 0.501 0.497
0.665 0.665 0.004
0.267 0.267 0.198
0.066 0.066 0.802
```

---

--- x ---
Density functional theory data (GGA-PBE) for crystalline Ce2HAu at its relaxed geometry.

Structure (POSCAR):
```
Ce2HAu
1.0
-3.777 -1.997 0.452
-1.373 -1.141 3.909
-4.002 3.388 1.946
Ce Au H
2 1 1
direct
0.779 0.779 0.663
0.221 0.221 0.337
0.000 0.000 0.000
0.500 0.500 0.500
```

---

w ends up most stable, edging out the next structure by 43 meV/atom.

---

--- w ---
Density functional theory data (GGA-PBE) for crystalline Ce3HgAu at its relaxed geometry.

Structure (POSCAR):
```
Ce3HgAu
1.0
6.502 0.313 -0.662
3.457 5.515 -0.662
2.971 1.739 14.992
Ce Au Hg
12 4 4
direct
0.199 0.864 0.938
0.485 0.894 0.590
0.106 0.515 0.910
0.136 0.801 0.562
0.907 0.730 0.306
0.864 0.199 0.438
0.894 0.485 0.090
0.270 0.093 0.194
0.801 0.136 0.062
0.093 0.270 0.694
0.515 0.106 0.410
0.730 0.907 0.806
0.299 0.701 0.750
0.500 0.000 0.000
0.701 0.299 0.250
0.000 0.500 0.500
0.390 0.719 0.366
0.281 0.610 0.134
0.610 0.281 0.634
0.719 0.390 0.866
```

---

--- x ---
Density functional theory data (GGA-PBE) for crystalline Ce3HgAu at its relaxed geometry.

Structure (POSCAR):
```
Ce3HgAu
1.0
6.655 0.000 0.000
0.000 8.345 4.353
0.000 -0.252 9.409
Ce Au Hg
12 4 4
direct
0.000 0.693 0.693
0.459 0.851 0.328
0.041 0.851 0.328
0.541 0.149 0.672
0.500 0.693 0.693
0.041 0.672 0.149
0.959 0.149 0.672
0.000 0.307 0.307
0.959 0.328 0.851
0.500 0.307 0.307
0.541 0.328 0.851
0.459 0.672 0.149
0.750 0.522 0.005
0.250 0.005 0.522
0.750 0.995 0.478
0.250 0.478 0.995
0.250 0.022 0.978
0.750 0.517 0.483
0.750 0.978 0.022
0.250 0.483 0.517
```

---

x ends up most stable, edging out the next structure by 27 meV/atom.

---

--- w ---
Density functional theory data (GGA-PBE) for crystalline Ce3Hg3Au2 at its relaxed geometry.

Structure (POSCAR):
```
Ce3Hg3Au2
1.0
4.739 0.000 0.000
0.000 4.980 -0.319
-2.370 -1.929 8.553
Ce Hg Au
3 3 2
direct
0.000 0.000 0.000
0.141 0.640 0.282
0.859 0.360 0.718
0.365 0.865 0.730
0.500 0.500 0.000
0.635 0.135 0.270
0.242 0.241 0.485
0.758 0.759 0.515
```

---

--- x ---
Density functional theory data (GGA-PBE) for crystalline Ce3Hg3Au2 at its relaxed geometry.

Structure (POSCAR):
```
Ce3Hg3Au2
1.0
3.765 0.000 0.000
0.000 6.924 -3.998
0.000 0.000 7.996
Ce Hg Au
3 3 2
direct
0.500 0.000 0.595
0.500 0.595 0.000
0.500 0.405 0.405
0.000 0.000 0.234
0.000 0.766 0.766
0.000 0.234 0.000
0.000 0.333 0.667
0.000 0.667 0.333
```

---

x ends up most stable, edging out the next structure by 90 meV/atom.

---

--- w ---
Density functional theory data (GGA-PBE) for crystalline CePrHgAu at its relaxed geometry.

Structure (POSCAR):
```
CePrHgAu
1.0
3.762 0.000 0.000
0.000 3.762 0.000
0.000 0.000 7.656
Hg Au Pr Ce
1 1 1 1
direct
0.500 0.500 0.103
0.500 0.500 0.612
0.000 0.000 0.369
0.000 0.000 0.843
```

---

--- x ---
Density functional theory data (GGA-PBE) for crystalline CePrHgAu at its relaxed geometry.

Structure (POSCAR):
```
CePrHgAu
1.0
-4.376 -0.091 3.080
-4.091 -3.214 -1.257
-1.059 -4.291 3.019
Au Hg Ce Pr
1 1 1 1
direct
0.000 0.000 0.000
0.500 0.500 0.500
0.250 0.250 0.250
0.750 0.750 0.750
```

---

w ends up most stable, edging out the next structure by 21 meV/atom.

---

--- w ---
Density functional theory data (GGA-PBE) for crystalline CePuHgAu at its relaxed geometry.

Structure (POSCAR):
```
CePuHgAu
1.0
-0.105 0.415 5.260
2.365 -3.655 2.983
4.409 1.199 2.640
Ce Au Hg Pu
1 1 1 1
direct
0.750 0.750 0.750
0.000 0.000 0.000
0.500 0.500 0.500
0.250 0.250 0.250
```

---

--- x ---
Density functional theory data (GGA-PBE) for crystalline CePuHgAu at its relaxed geometry.

Structure (POSCAR):
```
CePuHgAu
1.0
-3.520 -1.619 0.476
0.860 -2.668 -2.717
2.506 -4.049 4.769
Hg Au Pu Ce
1 1 1 1
direct
0.500 0.500 0.109
0.500 0.500 0.607
0.000 0.000 0.372
0.000 0.000 0.839
```

---

x ends up most stable, edging out the next structure by 23 meV/atom.

---

--- w ---
Density functional theory data (GGA-PBE) for crystalline TbCeHgAu at its relaxed geometry.

Structure (POSCAR):
```
TbCeHgAu
1.0
-1.655 -2.500 2.107
0.321 -2.474 -2.684
6.796 -2.147 2.792
Au Ce Hg Tb
1 1 1 1
direct
0.500 0.500 0.587
0.000 0.000 0.847
0.500 0.500 0.121
0.000 0.000 0.373
```

---

--- x ---
Density functional theory data (GGA-PBE) for crystalline TbCeHgAu at its relaxed geometry.

Structure (POSCAR):
```
TbCeHgAu
1.0
5.263 0.000 0.000
2.632 4.558 0.000
2.632 1.519 4.297
Hg Tb Au Ce
1 1 1 1
direct
0.250 0.250 0.250
0.500 0.500 0.500
0.750 0.750 0.750
0.000 0.000 0.000
```

---

w ends up most stable, edging out the next structure by 31 meV/atom.